No. 1
VASP calculation (PBE) on a geometry-optimized LiNd2Dy structure.

Values from the calculation:
Calculated volume: 126.59 Å³/f.u.
E_form: 0.071 eV/atom

Cell: 3.5725 3.5725 34.3582 Å, 90.00 90.00 120.00°
Space group R3m (No. 160, hexagonal axes)
Symmetry-distinct sites (fractional):
Li: 0.0000 0.0000 0.0000 [3 per cell]
Nd: 0.0000 0.0000 0.5847 [3 per cell]
Nd: 0.0000 0.0000 0.7489 [3 per cell]
Dy: 0.0000 0.0000 0.1669 [3 per cell]

=====

No. 2
VASP calculation (PBE) on a geometry-optimized PmNdH2 structure.

Values from the calculation:
Calculated volume: 68.08 Å³/f.u.
Raw total energy: -4.418 eV/atom

Cell: 3.6600 3.6600 11.7373 Å, 90.00 90.00 120.00°
Space group P6_3/mmc (No. 194)
Symmetry-distinct sites (fractional):
Pm: 0.3333 0.6667 0.2500 [2 per cell]
Nd: 0.0000 0.0000 0.0000 [2 per cell]
H: 0.3333 0.6667 0.6228 [4 per cell]

=====

No. 3
VASP calculation (PBE) on a geometry-optimized UPaAs2 structure.

Values from the calculation:
Calculated volume: 87.64 Å³/f.u.
E_form: -0.673 eV/atom

Cell: 7.051 7.051 7.051 Å, 90.00 90.00 90.00°
Space group Fm-3m (No. 225)
Symmetry-distinct sites (fractional):
U: 0.000 0.000 0.000 [4 per cell]
Pa: 0.000 0.000 0.500 [4 per cell]
As: 0.250 0.250 0.250 [8 per cell]

=====

No. 4
VASP calculation (PBE) on a geometry-optimized Zn2PW structure.

Values from the calculation:
Calculated volume: 57.88 Å³/f.u.
E_form: 0.327 eV/atom

Cell: 3.558 3.558 4.572 Å, 90.00 90.00 90.00°
Space group P4/mmm (No. 123)
Symmetry-distinct sites (fractional):
Zn: 0.000 0.500 0.000 [2 per cell]
P: 0.000 0.000 0.500 [1 per cell]
W: 0.500 0.500 0.500 [1 per cell]

=====

No. 5
VASP calculation (PBE) on a geometry-optimized Pm5Pr2SmDy structure.

Values from the calculation:
Calculated volume: 312.66 Å³/f.u.
E_form: 0.266 eV/atom

Cell: 8.776 8.776 16.239 Å, 90.00 90.00 90.00°
Space group I4/mcm (No. 140)
Symmetry-distinct sites (fractional):
Pm: 0.000 0.000 0.000 [4 per cell]
Pm: 0.212 0.288 0.141 [16 per cell]
Pr: 0.120 0.380 0.500 [8 per cell]
Sm: 0.000 0.000 0.250 [4 per cell]
Dy: 0.000 0.500 0.250 [4 per cell]

=====

No. 6
VASP calculation (PBE) on a geometry-optimized InHSCl2 structure.

Values from the calculation:
Calculated volume: 140.38 Å³/f.u.
Raw total energy: -2.575 eV/atom

Cell: 5.210 5.210 5.172 Å, 90.00 90.00 90.00°
Space group P4/mmm (No. 123)
Symmetry-distinct sites (fractional):
In: 0.000 0.000 0.000 [1 per cell]
H: 0.500 0.500 0.500 [1 per cell]
S: 0.000 0.000 0.500 [1 per cell]
Cl: 0.000 0.500 0.000 [2 per cell]

=====

No. 7
VASP calculation (PBE) on a geometry-optimized Sm2ZnGe2Rh5 structure.

Values from the calculation:
Calculated volume: 173.07 Å³/f.u.
E_form: -0.709 eV/atom

Cell: 9.854 9.854 3.564 Å, 90.00 90.00 90.00°
Space group P4/mbm (No. 127)
Symmetry-distinct sites (fractional):
Sm: 0.174 0.326 0.000 [4 per cell]
Zn: 0.000 0.000 0.000 [2 per cell]
Ge: 0.126 0.626 0.000 [4 per cell]
Rh: 0.000 0.500 0.500 [2 per cell]
Rh: 0.066 0.793 0.500 [8 per cell]

=====

No. 8
VASP calculation (PBE) on a geometry-optimized Li3La2InGe4 structure.

Values from the calculation:
Calculated volume: 205.37 Å³/f.u.
E_form: -0.598 eV/atom

Cell: 4.320 4.320 11.002 Å, 90.00 90.00 90.00°
Space group P-4m2 (No. 115)
Symmetry-distinct sites (fractional):
Li: 0.000 0.000 0.000 [1 per cell]
Li: 0.000 0.500 0.620 [2 per cell]
La: 0.000 0.500 0.267 [2 per cell]
In: 0.500 0.500 0.000 [1 per cell]
Ge: 0.000 0.000 0.500 [1 per cell]
Ge: 0.000 0.500 0.844 [2 per cell]
Ge: 0.500 0.500 0.500 [1 per cell]

=====

no.,total moment (μB/f.u.)
1,0.00
2,0.00
3,4.24
4,0.00
5,0.00
6,2.07
7,0.00
8,0.00